A relaxed Li2CeDy2Mg5 crystal. Source: the Alexandria database, functional PBE.

a = 4.447 Å, b = 10.573 Å, c = 10.573 Å
α = 90.00°, β = 90.00°, γ = 90.00°
Each line ends with the local moment (μB).
Fractional positions:
Dy 0.000 0.682 0.182  -0.01
Dy 0.000 0.318 0.818  -0.01
Dy 0.000 0.182 0.318  -0.01
Dy 0.000 0.818 0.682  -0.01
Li 0.000 0.887 0.387  0.00
Li 0.000 0.387 0.113  0.00
Li 0.000 0.113 0.613  0.00
Li 0.000 0.613 0.887  0.00
Mg 0.500 0.217 0.060  0.00
Mg 0.500 0.500 0.000  0.00
Mg 0.500 0.940 0.217  0.00
Mg 0.500 0.717 0.440  0.00
Mg 0.500 0.783 0.940  0.00
Mg 0.500 0.060 0.783  0.00
Mg 0.500 0.440 0.283  0.00
Mg 0.500 0.000 0.500  0.00
Mg 0.500 0.560 0.717  0.00
Mg 0.500 0.283 0.560  0.00
Ce 0.000 0.000 0.000  0.80
Ce 0.000 0.500 0.500  0.80

Results
DOS at the Fermi energy, states/eV per atom: 1.3384
Energy of formation from the pure elements, eV per formula unit: 0.29